[1]
! CsBeMo2Pb | Alexandria via LeMat-Bulk | PBE | optimized geometry; values from VASP
! ΔE_f	7.767	eV per formula unit
&SYSTEM
  ibrav = 0, nat = 5, ntyp = 4
/
ATOMIC_SPECIES
Be 9.01 Be.upf
Cs 132.91 Cs.upf
Mo 95.94 Mo.upf
Pb 207.20 Pb.upf
CELL_PARAMETERS angstrom
-4.468 -1.698 1.261
2.083 -4.263 1.643
0.515 1.985 4.498
ATOMIC_POSITIONS angstrom
Be 0.000 0.000 0.000
Cs -0.935 -1.988 3.701
Mo -2.234 -0.849 0.630
Mo 0.257 0.993 2.249
Pb 1.042 -2.131 0.822

=====

[2]
! Mg2SnO4 | Alexandria via LeMat-Bulk | PBE | optimized geometry; values from VASP
! ΔE_f (raw)	-2.246	eV per atom
! offset from the most stable computed form	36.9	meV/atom
&SYSTEM
  ibrav = 0, nat = 14, ntyp = 3
/
ATOMIC_SPECIES
Mg 24.30 Mg.upf
O 16.00 O.upf
Sn 118.71 Sn.upf
CELL_PARAMETERS angstrom
-1.429 -3.809 4.591
3.796 -4.587 1.473
3.164 0.203 5.251
ATOMIC_POSITIONS angstrom
Mg -0.023 -2.929 3.710
Mg 2.273 -0.923 4.040
Mg 2.590 -3.318 2.151
Mg 0.691 -1.024 1.414
O 4.047 -5.445 4.937
O 2.031 -3.009 4.155
O 3.203 -7.341 7.199
O 2.867 -4.797 9.206
O 1.273 -5.032 6.593
O 5.642 -5.210 7.550
O 3.711 -2.901 6.944
O 4.883 -7.233 9.988
Sn 2.766 -4.097 5.657
Sn 4.148 -6.145 8.486

=====

[3]
! Mg3PPb | Alexandria via LeMat-Bulk | PBE | optimized geometry; values from VASP
! offset from the most stable computed form	0.0	meV/atom
! ΔE_f	-0.744	eV per formula unit
&SYSTEM
  ibrav = 0, nat = 5, ntyp = 3
/
ATOMIC_SPECIES
Mg 24.30 Mg.upf
Pb 207.20 Pb.upf
P 30.97 P.upf
CELL_PARAMETERS angstrom
4.940 0.000 0.000
0.000 4.940 0.000
0.000 0.000 4.940
ATOMIC_POSITIONS angstrom
Mg 0.000 0.000 2.470
Mg 0.000 2.470 0.000
Mg 2.470 0.000 0.000
Pb 2.470 2.470 2.470
P 0.000 0.000 0.000